The following is a PBE calculation of a geometry-optimized Pr2H6RuRh structure, from Alexandria.

Results
uncorrected energy	-5.13	eV/atom
magnetic moment	0.00	μB per cell

abc: 5.3056 5.3056 5.3098
angles: 119.83 119.83 90.13
Sites, in units of the cell vectors:
Pr1 0.2502 0.7498 0.0000
Pr2 0.7498 0.2502 0.0000
H1 0.2450 0.2450 0.9894
H2 0.2454 0.7546 0.5000
H3 0.2461 0.2461 0.5006
H4 0.7539 0.7539 0.4994
H5 0.7546 0.2454 0.5000
H6 0.7550 0.7550 0.0106
Ru1 0.0000 0.0000 0.5000
Rh1 0.5000 0.5000 0.5000

***

The following is a PBE calculation of a geometry-optimized PrSbH6Rh3 structure, from Alexandria.

Results
uncorrected energy	-5.00	eV/atom
magnetic moment	0.00	μB per cell

abc: 5.0177 5.0177 5.0177
angles: 93.42 93.42 93.42
Sites, in units of the cell vectors:
Pr1 0.0000 0.0000 0.0000
Sb1 0.4057 0.4057 0.4057
H1 0.1060 0.5291 0.9167
H2 0.5055 0.9205 0.7684
H3 0.5291 0.9167 0.1060
H4 0.7684 0.5055 0.9205
H5 0.9167 0.1060 0.5291
H6 0.9205 0.7684 0.5055
Rh1 0.4438 0.6095 0.9163
Rh2 0.6095 0.9163 0.4438
Rh3 0.9163 0.4438 0.6095

***

The following is a PBE calculation of a geometry-optimized PrSbHRh2 structure, from Alexandria.

Results
uncorrected energy	-6.09	eV/atom
magnetic moment	0.00	μB per cell

abc: 6.0092 6.0092 7.4566
angles: 90.00 90.00 139.87
Sites, in units of the cell vectors:
Pr1 0.0618 0.9382 0.7500
Pr2 0.9382 0.0618 0.2500
Sb1 0.2181 0.7819 0.2500
Sb2 0.7819 0.2181 0.7500
H1 0.5000 0.5000 0.0000
H2 0.5000 0.5000 0.5000
Rh1 0.3466 0.6534 0.5493
Rh2 0.3466 0.6534 0.9507
Rh3 0.6534 0.3466 0.0493
Rh4 0.6534 0.3466 0.4507

***

The following is a PBE calculation of a geometry-optimized Pr2Sb3H2Rh5 structure, from Alexandria.

Results
uncorrected energy	-5.92	eV/atom
magnetic moment	0.00	μB per cell

abc: 11.8958 11.8958 11.8958
angles: 159.51 159.51 29.14
Sites, in units of the cell vectors:
Pr1 0.1946 0.1946 0.0000
Pr2 0.8054 0.8054 0.0000
Sb1 0.3400 0.3400 0.0000
Sb2 0.5000 0.5000 0.0000
Sb3 0.6600 0.6600 0.0000
H1 0.0793 0.0793 0.0000
H2 0.9207 0.9207 0.0000
Rh1 0.0000 0.0000 0.0000
Rh2 0.0841 0.5841 0.5000
Rh3 0.4159 0.9159 0.5000
Rh4 0.5841 0.0841 0.5000
Rh5 0.9159 0.4159 0.5000

***

Question: The lowest uncorrected energy belongs to which entry?
Answer: PrSbHRh2